Arrangement one

Density functional theory data (PBE) for a relaxed structure of Ba2ZrCr.

The structure in extended XYZ format:
```
4
Lattice="4.470 -1.952 0.000 4.470 1.952 0.000 -2.424 0.000 9.298" Properties=species:S:1:pos:R:3 pbc="T T T"
Ba 0.000 0.000 0.000
Ba -0.001 0.000 5.294
Zr 6.269 0.000 2.650
Cr 3.678 0.000 2.645
```

SG: Cm

Arrangement two

Density functional theory data (PBE) for a relaxed structure of Ba2ZrCr.

The structure in extended XYZ format:
```
4
Lattice="1.839 1.062 11.624 -1.839 1.062 11.624 0.000 -2.123 11.624" Properties=species:S:1:pos:R:3 pbc="T T T"
Ba 0.000 0.000 8.666
Ba 0.000 0.000 26.205
Zr 0.000 0.000 0.000
Cr 0.000 0.000 17.435
```

SG: R-3m

Arrangement three

Density functional theory data (PBE) for a relaxed structure of Ba2ZrCr.

The structure in extended XYZ format:
```
4
Lattice="5.322 0.000 0.000 0.000 5.322 0.000 0.000 0.000 4.883" Properties=species:S:1:pos:R:3 pbc="T T T"
Ba 0.000 2.661 0.000
Ba 2.661 0.000 0.000
Zr 0.000 0.000 2.442
Cr 2.661 2.661 2.442
```

SG: P4/mmm

arrangement one comes first in stability; the runner-up is 27.5 kJ/mol of atoms higher.

Arrangement one

Density functional theory data (PBE) for a relaxed structure of BaZr2Cr.

The structure in extended XYZ format:
```
4
Lattice="3.179 -5.726 0.000 3.179 5.726 0.000 -1.506 0.000 2.843" Properties=species:S:1:pos:R:3 pbc="T T T"
Ba 0.000 0.000 0.000
Zr 0.837 2.863 1.422
Zr 0.837 -2.863 1.422
Cr 3.179 0.000 0.000
```

SG: C2/m

Arrangement two

Density functional theory data (PBE) for a relaxed structure of BaZr2Cr.

The structure in extended XYZ format:
```
4
Lattice="-1.668 2.763 5.648 1.668 -2.763 5.648 1.668 2.763 -5.648" Properties=species:S:1:pos:R:3 pbc="T T T"
Ba 0.000 0.000 0.000
Zr 1.668 0.000 3.243
Zr 0.000 2.763 2.405
Cr 0.000 0.000 5.648
```

SG: Immm

arrangement two comes first in stability; the runner-up is 17.0 kJ/mol of atoms higher.

Arrangement one

Density functional theory data (PBE) for a relaxed structure of BaZr2Cr.

The structure in extended XYZ format:
```
4
Lattice="2.322 -2.334 0.000 2.322 2.334 0.000 0.000 0.000 9.526" Properties=species:S:1:pos:R:3 pbc="T T T"
Ba 0.000 0.000 0.000
Zr 2.322 0.000 3.246
Zr 2.322 0.000 6.281
Cr 0.000 0.000 4.763
```

SG: Cmmm

Arrangement two

Density functional theory data (PBE) for a relaxed structure of BaZr2Cr.

The structure in extended XYZ format:
```
4
Lattice="3.058 -5.257 0.000 3.058 5.257 0.000 0.000 0.000 3.143" Properties=species:S:1:pos:R:3 pbc="T T T"
Ba 0.000 0.000 0.000
Zr 1.529 2.628 1.572
Zr 1.529 -2.628 1.572
Cr 3.058 0.000 0.000
```

SG: Cmmm

Arrangement three

Density functional theory data (PBE) for a relaxed structure of BaZr2Cr.

The structure in extended XYZ format:
```
4
Lattice="1.689 0.975 10.093 -1.689 0.975 10.093 0.000 -1.950 10.093" Properties=species:S:1:pos:R:3 pbc="T T T"
Ba 0.000 0.000 0.000
Zr 0.000 0.000 6.875
Zr 0.000 0.000 23.402
Cr 0.000 0.000 15.139
```

SG: R-3m

Arrangement four

Density functional theory data (PBE) for a relaxed structure of BaZr2Cr.

The structure in extended XYZ format:
```
4
Lattice="4.915 -1.633 0.000 4.915 1.633 0.000 -0.707 0.000 7.056" Properties=species:S:1:pos:R:3 pbc="T T T"
Ba 0.000 0.000 0.000
Zr 4.742 0.000 3.778
Zr 7.391 0.000 2.460
Cr 2.064 0.000 4.681
```

SG: Cm

arrangement one comes first in stability; the runner-up is 21.2 kJ/mol of atoms higher.

Arrangement one

Density functional theory data (PBE) for a relaxed structure of BaZr2Cr.

The structure in extended XYZ format:
```
4
Lattice="3.442 0.000 0.000 0.000 5.430 0.000 0.000 0.000 5.443" Properties=species:S:1:pos:R:3 pbc="T T T"
Ba 0.000 0.000 0.000
Zr 0.000 2.715 2.722
Zr 1.721 0.000 2.722
Cr 1.721 2.715 0.000
```

SG: Pmmm

Arrangement two

Density functional theory data (PBE) for a relaxed structure of BaZr2Cr.

The structure in extended XYZ format:
```
4
Lattice="4.489 0.000 0.000 0.000 4.489 0.000 0.000 0.000 5.122" Properties=species:S:1:pos:R:3 pbc="T T T"
Ba 0.000 0.000 0.000
Zr 0.000 2.244 2.561
Zr 2.244 0.000 2.561
Cr 2.244 2.244 0.000
```

SG: P4/mmm

Arrangement three

Density functional theory data (PBE) for a relaxed structure of BaZr2Cr.

The structure in extended XYZ format:
```
4
Lattice="3.946 -1.643 0.000 3.946 1.643 0.000 -0.468 0.000 8.404" Properties=species:S:1:pos:R:3 pbc="T T T"
Ba 0.000 0.000 0.000
Zr 1.542 0.000 5.489
Zr 5.882 0.000 2.915
Cr 3.712 0.000 4.202
```

SG: C2/m

arrangement three comes first in stability; the runner-up is 23.1 kJ/mol of atoms higher.

Arrangement one

Density functional theory data (PBE) for a relaxed structure of BaZr2Cr.

The structure in extended XYZ format:
```
4
Lattice="3.407 0.000 0.000 0.000 3.407 0.000 0.000 0.000 9.258" Properties=species:S:1:pos:R:3 pbc="T T T"
Ba 0.000 0.000 0.000
Zr 0.000 0.000 4.114
Zr 1.703 1.703 6.101
Cr 1.703 1.703 2.562
```

SG: P4mm

Arrangement two

Density functional theory data (PBE) for a relaxed structure of BaZr2Cr.

The structure in extended XYZ format:
```
8
Lattice="-3.727 3.727 5.262 3.727 -3.727 5.262 3.727 3.727 -5.262" Properties=species:S:1:pos:R:3 pbc="T T T"
Ba 3.727 1.863 1.316
Ba 0.000 1.863 3.947
Zr 0.000 0.000 0.000
Zr 1.863 1.863 -2.631
Zr 1.863 -1.863 2.631
Zr 0.000 3.727 0.000
Cr 3.727 -1.863 3.947
Cr 0.000 5.590 1.316
```

SG: I4_1/amd

Arrangement three

Density functional theory data (PBE) for a relaxed structure of BaZr2Cr.

The structure in extended XYZ format:
```
4
Lattice="0.000 3.739 3.739 3.739 0.000 3.739 3.739 3.739 0.000" Properties=species:S:1:pos:R:3 pbc="T T T"
Ba 0.000 0.000 0.000
Zr 1.870 1.870 1.870
Zr 3.739 3.739 3.739
Cr 5.609 5.609 5.609
```

SG: F-43m

arrangement one comes first in stability; the runner-up is 26.6 kJ/mol of atoms higher.

Arrangement one

Density functional theory data (PBE) for a relaxed structure of BaZrCr3.

The structure in extended XYZ format:
```
5
Lattice="5.154 0.000 0.000 0.000 5.154 0.000 0.000 0.000 5.154" Properties=species:S:1:pos:R:3 pbc="T T T"
Ba 0.000 0.000 0.000
Zr 2.577 2.577 2.577
Cr 0.000 2.577 2.577
Cr 2.577 0.000 2.577
Cr 2.577 2.577 0.000
```

SG: Pm-3m

Arrangement two

Density functional theory data (PBE) for a relaxed structure of BaZrCr3.

The structure in extended XYZ format:
```
5
Lattice="4.934 0.000 0.000 0.000 4.934 0.000 0.000 0.000 4.934" Properties=species:S:1:pos:R:3 pbc="T T T"
Ba 0.000 0.000 0.000
Zr 2.467 2.467 2.467
Cr 0.000 0.000 2.467
Cr 0.000 2.467 0.000
Cr 2.467 0.000 0.000
```

SG: Pm-3m

arrangement one comes first in stability; the runner-up is 96.8 kJ/mol of atoms higher.

Arrangement one

Density functional theory data (PBE) for a relaxed structure of CsBa2Cu.

The structure in extended XYZ format:
```
4
Lattice="0.000 4.431 4.431 4.431 0.000 4.431 4.431 4.431 0.000" Properties=species:S:1:pos:R:3 pbc="T T T"
Cs 0.000 0.000 0.000
Ba 2.215 2.215 2.215
Ba 6.646 6.646 6.646
Cu 4.431 4.431 4.431
```

SG: Fm-3m

Arrangement two

Density functional theory data (PBE) for a relaxed structure of CsBa2Cu.

The structure in extended XYZ format:
```
4
Lattice="4.147 0.000 0.000 0.000 4.147 0.000 0.000 0.000 12.042" Properties=species:S:1:pos:R:3 pbc="T T T"
Cs 0.000 0.000 0.000
Ba 2.073 2.073 4.157
Ba 2.073 2.073 7.886
Cu 0.000 0.000 6.021
```

SG: P4/mmm

arrangement two comes first in stability; the runner-up is 27.0 kJ/mol of atoms higher.

Arrangement one

Density functional theory data (PBE) for a relaxed structure of CsBaCu2.

The structure in extended XYZ format:
```
4
Lattice="0.000 4.073 4.073 4.073 0.000 4.073 4.073 4.073 0.000" Properties=species:S:1:pos:R:3 pbc="T T T"
Cs 0.000 0.000 0.000
Ba 4.073 4.073 4.073
Cu 2.037 2.037 2.037
Cu 6.110 6.110 6.110
```

SG: Fm-3m

Arrangement two

Density functional theory data (PBE) for a relaxed structure of CsBaCu2.

The structure in extended XYZ format:
```
8
Lattice="-4.470 4.470 4.210 4.470 -4.470 4.210 4.470 4.470 -4.210" Properties=species:S:1:pos:R:3 pbc="T T T"
Cs 0.000 0.000 0.000
Cs 0.000 4.470 2.105
Ba 4.470 0.000 2.105
Ba 0.000 0.000 4.210
Cu 2.235 -1.997 3.158
Cu 2.473 2.235 1.053
Cu 2.235 6.467 -1.053
Cu 1.997 2.235 5.263
```

SG: I-42d

arrangement one comes first in stability; the runner-up is 13.7 kJ/mol of atoms higher.

Arrangement one

Density functional theory data (PBE) for a relaxed structure of CsBa2Eu.

The structure in extended XYZ format:
```
4
Lattice="2.204 1.272 15.530 -2.204 1.272 15.530 0.000 -2.545 15.530" Properties=species:S:1:pos:R:3 pbc="T T T"
Cs 0.000 0.000 0.000
Ba 0.000 0.000 4.391
Ba 0.000 0.000 42.200
Eu 0.000 0.000 23.295
```

SG: R-3m

Arrangement two

Density functional theory data (PBE) for a relaxed structure of CsBa2Eu.

The structure in extended XYZ format:
```
4
Lattice="7.361 0.000 0.000 0.000 7.361 0.000 0.000 0.000 4.737" Properties=species:S:1:pos:R:3 pbc="T T T"
Cs 0.000 0.000 0.000
Ba 0.000 3.681 2.368
Ba 3.681 0.000 2.368
Eu 3.681 3.681 0.000
```

SG: P4/mmm

arrangement one comes first in stability; the runner-up is 4.4 kJ/mol of atoms higher.

Arrangement one

Density functional theory data (PBE) for a relaxed structure of Cs2BaFeI6.

The structure in extended XYZ format:
```
10
Lattice="8.577 0.000 0.000 -4.288 7.428 0.000 0.000 0.000 8.116" Properties=species:S:1:pos:R:3 pbc="T T T"
Cs 0.000 4.952 1.357
Cs 4.288 2.476 6.760
Ba 0.000 0.000 4.058
Fe 0.000 0.000 0.000
I 0.000 2.399 6.481
I -2.211 6.228 6.481
I 2.078 1.200 1.635
I 2.211 6.228 6.481
I 6.499 1.200 1.635
I 4.288 5.029 1.635
```

SG: P-3m1

Arrangement two

Density functional theory data (PBE) for a relaxed structure of Cs2BaFeI6.

The structure in extended XYZ format:
```
10
Lattice="0.000 6.227 6.227 6.227 0.000 6.227 6.227 6.227 0.000" Properties=species:S:1:pos:R:3 pbc="T T T"
Cs 3.114 3.114 3.114
Cs 9.341 9.341 9.341
Ba 0.000 0.000 0.000
Fe 6.227 6.227 6.227
I 6.227 6.227 3.382
I 6.227 3.382 6.227
I 9.072 6.227 6.227
I 3.382 6.227 6.227
I 6.227 9.072 6.227
I 6.227 6.227 9.072
```

SG: Fm-3m

arrangement one comes first in stability; the runner-up is 2.2 kJ/mol of atoms higher.

Arrangement one

Density functional theory data (PBE) for a relaxed structure of CsBa2Ga2.

The structure in extended XYZ format:
```
10
Lattice="9.915 0.000 0.000 0.000 9.915 0.000 0.000 0.000 4.043" Properties=species:S:1:pos:R:3 pbc="T T T"
Cs 0.000 0.000 0.000
Cs 4.958 4.958 0.000
Ba 1.407 3.551 0.000
Ba 3.551 8.508 0.000
Ba 6.364 1.407 0.000
Ba 8.508 6.364 0.000
Ga 1.480 6.438 2.021
Ga 3.477 1.480 2.021
Ga 6.438 8.435 2.021
Ga 8.435 3.477 2.021
```

SG: P4/mbm

Arrangement two

Density functional theory data (PBE) for a relaxed structure of CsBa2Ga2.

The structure in extended XYZ format:
```
5
Lattice="-2.773 2.773 8.035 2.773 -2.773 8.035 2.773 2.773 -8.035" Properties=species:S:1:pos:R:3 pbc="T T T"
Cs 0.000 0.000 0.000
Ba 0.000 0.000 5.742
Ba 0.000 0.000 10.327
Ga 2.773 0.000 4.017
Ga 0.000 2.773 4.017
```

SG: I4/mmm

Arrangement three

Density functional theory data (PBE) for a relaxed structure of CsBa2Ga2.

The structure in extended XYZ format:
```
5
Lattice="-3.153 3.153 5.455 3.153 -3.153 5.455 3.153 3.153 -5.455" Properties=species:S:1:pos:R:3 pbc="T T T"
Cs 0.000 0.000 0.000
Ba 3.153 0.000 2.727
Ba 0.000 3.153 2.727
Ga 0.000 0.000 4.228
Ga 0.000 0.000 6.681
```

SG: I4/mmm

arrangement three comes first in stability; the runner-up is 1.2 kJ/mol of atoms higher.